A plane-wave DFT calculation with PBE-GGA was carried out for a relaxed structure of Al2CrPt.

abc: 4.3851 4.3851 4.3851
angles: 60.00 60.00 60.00
Atoms (fractional coordinates):
1 Al 0.0000 0.0000 0.0000
2 Al 0.2500 0.2500 0.2500
3 Cr 0.5000 0.5000 0.5000
4 Pt 0.7500 0.7500 0.7500

Summary:
* VASP energy: -6.113 eV/atom

A plane-wave DFT calculation with PBE-GGA was carried out for a relaxed structure of Al2CrPt.

abc: 8.6021 8.6021 8.6021
angles: 18.69 18.69 18.69
Atoms (fractional coordinates):
1 Al 0.9984 0.9984 0.9984
2 Al 0.5016 0.5016 0.5016
3 Cr 0.2500 0.2500 0.2500
4 Pt 0.7500 0.7500 0.7500

Summary:
* VASP energy: -6.092 eV/atom

A plane-wave DFT calculation with PBE-GGA was carried out for a relaxed structure of AlCr3Pt.

abc: 4.3046 4.3046 4.3046
angles: 90.00 90.00 90.00
Atoms (fractional coordinates):
1 Cr 0.0000 0.5000 0.0000
2 Cr 0.0000 0.0000 0.5000
3 Cr 0.5000 0.0000 0.0000
4 Al 0.0000 0.0000 0.0000
5 Pt 0.5000 0.5000 0.5000

Summary:
* VASP energy: -6.341 eV/atom

A plane-wave DFT calculation with PBE-GGA was carried out for a relaxed structure of Al2CrPt.

abc: 2.7264 2.7264 7.8206
angles: 90.00 90.00 90.00
Atoms (fractional coordinates):
1 Al 0.5000 0.5000 0.2720
2 Al 0.0000 0.0000 0.9844
3 Cr 0.0000 0.0000 0.5036
4 Pt 0.5000 0.5000 0.7399

Summary:
* VASP energy: -6.019 eV/atom

A plane-wave DFT calculation with PBE-GGA was carried out for a relaxed structure of Al2CrPt9.

abc: 3.9187 3.9187 11.7629
angles: 90.00 90.00 90.00
Atoms (fractional coordinates):
1 Pt 0.5000 0.0000 0.1661
2 Pt 0.5000 0.0000 0.8339
3 Pt 0.0000 0.5000 0.1661
4 Pt 0.5000 0.0000 0.5000
5 Pt 0.0000 0.5000 0.5000
6 Pt 0.5000 0.5000 0.0000
7 Pt 0.5000 0.5000 0.3334
8 Pt 0.0000 0.5000 0.8339
9 Pt 0.5000 0.5000 0.6666
10 Al 0.0000 0.0000 0.3343
11 Al 0.0000 0.0000 0.6657
12 Cr 0.0000 0.0000 0.0000

Summary:
* VASP energy: -6.508 eV/atom

A plane-wave DFT calculation with PBE-GGA was carried out for a relaxed structure of AlCr2RePt.

abc: 4.7916 4.5276 4.7916
angles: 90.00 90.00 90.00
Atoms (fractional coordinates):
1 Cr 0.0000 0.0000 0.5000
2 Cr 0.5000 0.0000 0.0000
3 Pt 0.0000 0.0000 0.0000
4 Al 0.0000 0.5000 0.0000
5 Re 0.5000 0.5000 0.5000

Summary:
* VASP energy: -6.926 eV/atom

A plane-wave DFT calculation with PBE-GGA was carried out for a relaxed structure of AlCr2SnPt.

abc: 5.0016 4.9076 5.0016
angles: 90.00 90.00 90.00
Atoms (fractional coordinates):
1 Cr 0.5000 0.0000 0.0000
2 Cr 0.0000 0.0000 0.5000
3 Al 0.0000 0.5000 0.0000
4 Pt 0.5000 0.5000 0.5000
5 Sn 0.0000 0.0000 0.0000

Summary:
* VASP energy: -5.234 eV/atom

A plane-wave DFT calculation with PBE-GGA was carried out for a relaxed structure of SrAl2CrPt.

abc: 4.7843 5.2284 4.7843
angles: 90.00 90.00 90.00
Atoms (fractional coordinates):
1 Pt 0.0000 0.0000 0.0000
2 Al 0.5000 0.0000 0.0000
3 Al 0.0000 0.0000 0.5000
4 Cr 0.0000 0.5000 0.0000
5 Sr 0.5000 0.5000 0.5000

Summary:
* VASP energy: -5.077 eV/atom